Run a
Density functional theory data (GGA-PBE) for a relaxed structure of Sm3GeO.

Values from the calculation:
**Space group**: P2_1/m
**Density of states at the Fermi level**: 3.69 states/eV/f.u.

a b c (Å): 4.6750 4.7815 10.9030
angles (deg): 90.00 102.41 90.00
Closest atoms and distances in Å follow each position.
Sites, in units of the cell vectors:
Sm1 0.4410 0.2500 0.3818  3 O 2.39-2.58
Sm2 0.0736 0.2500 0.6473  2 O 2.35
Sm3 0.6955 0.2500 0.8914  1 O 2.85, 1 Ge 2.97
Sm4 0.9264 0.7500 0.3527  2 O 2.35
O1 0.4378 0.7500 0.3758  5 Sm 2.35-2.58
Sm5 0.5590 0.7500 0.6182  3 O 2.39-2.58
O2 0.5622 0.2500 0.6242  5 Sm 2.35-2.58
Ge1 0.8339 0.2500 0.1707  5 Sm 2.97-3.25
Sm6 0.3045 0.7500 0.1086  1 O 2.85, 1 Ge 2.97
Ge2 0.1661 0.7500 0.8293  5 Sm 2.97-3.25

***

Run b
Density functional theory data (GGA-PBE) for a relaxed structure of Sm3GeO.

Values from the calculation:
**Space group**: Pm-3m
**Density of states at the Fermi level**: 3.40 states/eV/f.u.

a b c (Å): 4.8119 4.8119 4.8119
angles (deg): 90.00 90.00 90.00
Closest atoms and distances in Å follow each position.
Sites, in units of the cell vectors:
Ge1 0.5000 0.5000 0.5000  12 Sm 3.40
Sm1 0.0000 0.0000 0.5000  2 O 2.41
Sm2 0.0000 0.5000 0.0000  2 O 2.41
O1 0.0000 0.0000 0.0000  6 Sm 2.41
Sm3 0.5000 0.0000 0.0000  2 O 2.41

***

Most stable to least stable, the ends of the list are run a and run b.

***

Run a
Density functional theory data (GGA-PBE) for a relaxed structure of SnGe3O.

Values from the calculation:
**Space group**: Pm-3m
**Density of states at the Fermi level**: 1.35 states/eV/f.u.

a b c (Å): 4.5692 4.5692 4.5692
angles (deg): 90.00 90.00 90.00
Closest atoms and distances in Å follow each position.
Sites, in units of the cell vectors:
Ge1 0.5000 0.0000 0.0000  2 O 2.28
Ge2 0.0000 0.0000 0.5000  2 O 2.28
Ge3 0.0000 0.5000 0.0000  2 O 2.28
Sn1 0.5000 0.5000 0.5000  12 Ge 3.23
O1 0.0000 0.0000 0.0000  6 Ge 2.28

***

Run b
Density functional theory data (GGA-PBE) for a relaxed structure of SnGe3O.

Values from the calculation:
**Space group**: Pm-3m
**Density of states at the Fermi level**: 3.24 states/eV/f.u.

a b c (Å): 5.3151 5.3151 5.3151
angles (deg): 90.00 90.00 90.00
Closest atoms and distances in Å follow each position.
Sites, in units of the cell vectors:
Ge1 0.0000 0.0000 0.5000  2 Sn 2.66
Sn1 0.0000 0.0000 0.0000  6 Ge 2.66
Ge2 0.5000 0.0000 0.0000  2 Sn 2.66
Ge3 0.0000 0.5000 0.0000  2 Sn 2.66
O1 0.5000 0.5000 0.5000  12 Ge 3.76

***

Most stable to least stable, the ends of the list are run a and run b.

***

Run a
Density functional theory data (GGA-PBE) for a relaxed structure of SrGe3O.

Values from the calculation:
**Space group**: Pm-3m
**Density of states at the Fermi level**: 2.58 states/eV/f.u.

a b c (Å): 4.6477 4.6477 4.6477
angles (deg): 90.00 90.00 90.00
Closest atoms and distances in Å follow each position.
Sites, in units of the cell vectors:
Ge1 0.0000 0.5000 0.0000  2 O 2.32
Ge2 0.0000 0.0000 0.5000  2 O 2.32
Ge3 0.5000 0.0000 0.0000  2 O 2.32
Sr1 0.5000 0.5000 0.5000  12 Ge 3.29
O1 0.0000 0.0000 0.0000  6 Ge 2.32

***

Run b
Density functional theory data (GGA-PBE) for a relaxed structure of SrGe3O.

Values from the calculation:
**Space group**: Pm-3m
**Density of states at the Fermi level**: 24.06 states/eV/f.u.

a b c (Å): 5.7946 5.7946 5.7946
angles (deg): 90.00 90.00 90.00
Closest atoms and distances in Å follow each position.
Sites, in units of the cell vectors:
Ge1 0.5000 0.0000 0.0000  2 Sr 2.90
Sr1 0.0000 0.0000 0.0000  6 Ge 2.90
Ge2 0.0000 0.5000 0.0000  2 Sr 2.90
Ge3 0.0000 0.0000 0.5000  2 Sr 2.90
O1 0.5000 0.5000 0.5000  12 Ge 4.10

***

Most stable to least stable, the ends of the list are run a and run b.

***

Run a
Density functional theory data (GGA-PBE) for a relaxed structure of Sr2GeO.

Values from the calculation:
**Space group**: I-42d
**Density of states at the Fermi level**: 0.04 states/eV/f.u.

a b c (Å): 7.2131 7.2131 6.7035
angles (deg): 57.45 57.45 90.00
Closest atoms and distances in Å follow each position.
Sites, in units of the cell vectors:
O1 0.2500 0.7500 0.5000  4 Sr 2.39
Sr1 0.5307 0.1250 0.2500  2 O 2.39
Ge1 0.0000 0.0000 0.0000  4 Sr 3.26
O2 0.5000 0.5000 0.0000  4 Sr 2.39
Sr2 0.2193 0.6250 0.2500  2 O 2.39
Sr3 0.3750 0.4693 0.7500  2 O 2.39
Sr4 0.8750 0.7807 0.7500  2 O 2.39
Ge2 0.7500 0.2500 0.5000  4 Sr 3.26

***

Run b
Density functional theory data (GGA-PBE) for a relaxed structure of Sr2GeO.

Values from the calculation:
**Space group**: R-3m
**Density of states at the Fermi level**: 4.00 states/eV/f.u.

a b c (Å): 3.7370 3.7370 9.3170
angles (deg): 78.43 78.43 60.00
Closest atoms and distances in Å follow each position.
Sites, in units of the cell vectors:
Sr1 0.8875 0.8875 0.3376  3 O 2.61
Ge1 0.0000 0.0000 0.0000  2 Sr 3.06
Sr2 0.1125 0.1125 0.6624  3 O 2.61
O1 0.5000 0.5000 0.5000  6 Sr 2.61

***

Most stable to least stable, the ends of the list are run a and run b.